## Ti3BiH3 (PBE)

Data for crystalline Ti3BiH3 at its relaxed geometry.

Its crystal system is cubic.

The space group is Pm-3n (No. 223) and the conventional cell measures 5.434, 5.434 and 5.434 Å, with angles of 90.00, 90.00 and 90.00 degrees. Symmetry generates all atoms from Ti at (0.000, 0.250, 0.500), Bi at (0.000, 0.000, 0.000) and H at (0.000, 0.500, 0.250).

## Ac6Tb5Pm (PBE)

Data for crystalline Ac6Tb5Pm at its relaxed geometry.

Its crystal system is orthorhombic. The value obtained for the formation energy is 43 meV/atom.

The space group is Immm (No. 71) and the conventional cell measures 5.472, 10.223 and 16.358 Å, with angles of 90.00, 90.00 and 90.00 degrees. Symmetry generates all atoms from Ac at (0.000, 0.248, 0.000), Ac at (0.000, 0.251, 0.333), Tb at (0.000, 0.000, 0.167), Tb at (0.000, 0.500, 0.167), Tb at (0.000, 0.500, 0.500) and Pm at (0.000, 0.000, 0.500).

## HoSn2Pd4 (PBE)

Data for crystalline HoSn2Pd4 at its relaxed geometry.

Its crystal system is trigonal. The value obtained for the formation energy is -617 meV/atom.

The space group is R-3m (No. 166, hexagonal axes) and the conventional cell measures 4.5798, 4.5798 and 23.1187 Å, with angles of 90.00, 90.00 and 120.00 degrees. Symmetry generates all atoms from Ho at (0.0000, 0.0000, 0.0000), Sn at (0.0000, 0.0000, 0.2451), Pd at (0.0000, 0.0000, 0.1280) and Pd at (0.0000, 0.0000, 0.3997).

## Ba2Cd4InGa3 (PBE)

Data for crystalline Ba2Cd4InGa3 at its relaxed geometry.

Its crystal system is tetragonal. The value obtained for the formation energy is -326 meV/atom.

The space group is P-4m2 (No. 115) and the conventional cell measures 4.802, 4.802 and 11.758 Å, with angles of 90.00, 90.00 and 90.00 degrees. Symmetry generates all atoms from Ba at (0.000, 0.500, 0.245), Cd at (0.000, 0.000, 0.000), Cd at (0.000, 0.500, 0.640), Cd at (0.500, 0.500, 0.000), In at (0.000, 0.000, 0.500), Ga at (0.000, 0.500, 0.872) and Ga at (0.500, 0.500, 0.500).

## ZnGa3Ni3 (PBE)

Data for crystalline ZnGa3Ni3 at its relaxed geometry.

Its crystal system is cubic. The calculation puts the polymorph energy (0 for the lowest one) at 0 meV/atom. The value obtained for the formation energy is -371 meV/atom.

The space group is Ia-3d (No. 230) and the conventional cell measures 11.477, 11.477 and 11.477 Å, with angles of 90.00, 90.00 and 90.00 degrees. Symmetry generates all atoms from Zn at (0.000, 0.000, 0.000), Ga at (0.000, 0.250, 0.011) and Ni at (0.117, 0.125, 0.867).

## TlV2S (PBE)

Data for crystalline TlV2S at its relaxed geometry.

Its crystal system is cubic. For the formation energy (no corrections), the calculation gives 45.0 kJ per mole of atoms.

The space group is Fm-3m (No. 225) and the conventional cell measures 6.334, 6.334 and 6.334 Å, with angles of 90.00, 90.00 and 90.00 degrees. Symmetry generates all atoms from Tl at (0.000, 0.000, 0.000), V at (0.250, 0.250, 0.250) and S at (0.000, 0.000, 0.500).

## CrNiH3 (PBE)

Data for crystalline CrNiH3 at its relaxed geometry.

Its crystal system is cubic.

The space group is Pm-3m (No. 221) and the conventional cell measures 3.152, 3.152 and 3.152 Å, with angles of 90.00, 90.00 and 90.00 degrees. Symmetry generates all atoms from Cr at (0.000, 0.000, 0.000), Ni at (0.500, 0.500, 0.500) and H at (0.000, 0.500, 0.500).

## TlCu2SiS4 (PBE)

Data for crystalline TlCu2SiS4 at its relaxed geometry.

Its crystal system is orthorhombic. For the formation energy (no corrections), the calculation gives -37.5 kJ per mole of atoms.

The space group is Fmm2 (No. 42) and the conventional cell measures 8.470, 8.477 and 9.215 Å, with angles of 90.00, 90.00 and 90.00 degrees. Symmetry generates all atoms from Tl at (0.000, 0.000, 0.000), Cu at (0.250, 0.250, 0.249), Si at (0.000, 0.000, 0.499), S at (0.000, 0.199, 0.644) and S at (0.199, 0.000, 0.355).

## LiZrInS4 (PBE)

Data for crystalline LiZrInS4 at its relaxed geometry.

Its crystal system is orthorhombic. For the formation energy (no corrections), the calculation gives -110.5 kJ per mole of atoms.

The space group is Imma (No. 74) and the conventional cell measures 7.475, 7.612 and 11.061 Å, with angles of 90.00, 90.00 and 90.00 degrees. Symmetry generates all atoms from Li at (0.000, 0.250, 0.121), Zr at (0.250, 0.250, 0.750), In at (0.000, 0.000, 0.500), S at (0.000, 0.016, 0.750) and S at (0.238, 0.250, 0.513).

## TiMoH (PBE)

Data for crystalline TiMoH at its relaxed geometry.

Its crystal system is triclinic.

The space group is P-1 (No. 2) and the conventional cell measures 3.220, 4.568 and 5.436 Å, with angles of 113.68, 107.20 and 91.11 degrees. Symmetry generates all atoms from Ti at (0.098, 0.357, 0.218), Mo at (0.373, 0.127, 0.748) and H at (0.481, 0.735, 0.505).

Number 1: E -5.751 eV/atom, M_tot 0.00 Bohr magnetons per cell. Number 2: E -4.337 eV/atom, M_tot 0.00 Bohr magnetons per cell. Number 3: E -5.382 eV/atom, M_tot 0.00 Bohr magnetons per cell. Number 4: E -2.258 eV/atom, M_tot 0.00 Bohr magnetons per cell. Number 5: E -4.328 eV/atom, M_tot 0.00 Bohr magnetons per cell. Number 6: E -5.717 eV/atom, M_tot 0.01 Bohr magnetons per cell. Number 7: E -4.840 eV/atom, M_tot 0.00 Bohr magnetons per cell. Number 8: E -4.450 eV/atom, M_tot 0.00 Bohr magnetons per cell. Number 9: E -5.390 eV/atom, M_tot 0.00 Bohr magnetons per cell. Number 10: E -7.574 eV/atom, M_tot 0.00 Bohr magnetons per cell.